(1)
First-principles (PBE) data for a relaxed structure of AlRuPt4, as listed in Alexandria via LeMat-Bulk.

Properties
Total magnetic moment: 0.24 μB/atom
Density: 15.1 Mg/m³
Final energy: -6.01 eV per atom
Formation enthalpy at 0 K: 185 meV/atom
Space-group type: F-43m

Unit cell a=5.212 b=5.212 c=5.212 alpha=60.00 beta=60.00 gamma=60.00
Each line ends with the local moment (μB).
Sites, in units of the cell vectors:
Al  0.000  0.000  0.000  -0.03
Pt  0.625  0.625  0.625  0.01
Pt  0.625  0.126  0.625  0.01
Pt  0.126  0.625  0.625  0.01
Pt  0.625  0.625  0.126  0.01
Ru  0.250  0.250  0.250  1.47


(2)
First-principles (PBE) data for a relaxed structure of AlRuPt3, as listed in Alexandria via LeMat-Bulk.

Properties
Total magnetic moment: 0.00 μB/atom
Density: 10.7 Mg/m³
Final energy: -5.05 eV per atom
Formation enthalpy at 0 K: 1179 meV/atom
Space-group type: Pm-3m

Unit cell a=4.795 b=4.795 c=4.795 alpha=90.00 beta=90.00 gamma=90.00
Sites, in units of the cell vectors:
Ru  0.000  0.000  0.000
Pt  0.000  0.500  0.000
Pt  0.000  0.000  0.500
Pt  0.500  0.000  0.000
Al  0.500  0.500  0.500


(3)
First-principles (PBE) data for a relaxed structure of AlRu2Pt, as listed in Alexandria via LeMat-Bulk.

Properties
Total magnetic moment: 0.54 μB/atom
Density: 12.0 Mg/m³
Final energy: -7.18 eV per atom
Formation enthalpy at 0 K: -99 meV/atom
Space-group type: F-43m

Unit cell a=4.366 b=4.366 c=4.366 alpha=60.00 beta=60.00 gamma=60.00
Each line ends with the local moment (μB).
Sites, in units of the cell vectors:
Pt  0.250  0.250  0.250  0.21
Ru  0.750  0.750  0.750  0.79
Ru  0.000  0.000  0.000  1.09
Al  0.500  0.500  0.500  0.00


(4)
First-principles (PBE) data for a relaxed structure of AlRuPt, as listed in Alexandria via LeMat-Bulk.

Properties
Total magnetic moment: 0.00 μB/atom
Density: 12.4 Mg/m³
Final energy: -6.82 eV per atom
Formation enthalpy at 0 K: -471 meV/atom
Space-group type: I4mm

Unit cell a=5.839 b=5.839 c=2.803 alpha=76.11 beta=76.11 gamma=27.78
Sites, in units of the cell vectors:
Al  0.002  0.002  0.998
Pt  0.341  0.341  0.659
Ru  0.657  0.657  0.343


(5)
First-principles (PBE) data for a relaxed structure of Al2RuPt, as listed in Alexandria via LeMat-Bulk.

Properties
Total magnetic moment: 0.00 μB/atom
Density: 9.7 Mg/m³
Final energy: -6.00 eV per atom
Formation enthalpy at 0 K: -303 meV/atom
Space-group type: R3m

Unit cell a=8.665 b=8.665 c=8.665 alpha=18.96 beta=18.96 gamma=18.96
Sites, in units of the cell vectors:
Al  0.003  0.003  0.003
Al  0.248  0.248  0.248
Ru  0.746  0.746  0.746
Pt  0.503  0.503  0.503


(6)
First-principles (PBE) data for a relaxed structure of AlRu2Pt, as listed in Alexandria via LeMat-Bulk.

Properties
Total magnetic moment: 0.18 μB/atom
Density: 12.1 Mg/m³
Final energy: -7.25 eV per atom
Formation enthalpy at 0 K: -162 meV/atom
Space-group type: Pmmm

Unit cell a=2.825 b=4.490 c=4.590 alpha=90.00 beta=90.00 gamma=90.00
Each line ends with the local moment (μB).
Sites, in units of the cell vectors:
Pt  0.000  0.500  0.500  0.04
Ru  0.000  0.000  0.000  0.34
Ru  0.500  0.500  0.000  0.33
Al  0.500  0.000  0.500  0.00


(7)
First-principles (PBE) data for a relaxed structure of AlRu2Pt, as listed in Alexandria via LeMat-Bulk.

Properties
Total magnetic moment: 0.00 μB/atom
Density: 12.2 Mg/m³
Final energy: -7.40 eV per atom
Formation enthalpy at 0 K: -321 meV/atom
Space-group type: Cm

Unit cell a=4.682 b=4.682 c=4.695 alpha=80.09 beta=80.09 gamma=34.64
Sites, in units of the cell vectors:
Al  0.499  0.499  0.483
Ru  0.750  0.750  0.775
Ru  0.004  0.004  0.970
Pt  0.247  0.247  0.273


(8)
First-principles (PBE) data for a relaxed structure of Al2RuPt, as listed in Alexandria via LeMat-Bulk.

Properties
Total magnetic moment: 0.00 μB/atom
Density: 9.8 Mg/m³
Final energy: -6.01 eV per atom
Formation enthalpy at 0 K: -306 meV/atom
Space-group type: F-43m

Unit cell a=4.379 b=4.379 c=4.379 alpha=60.00 beta=60.00 gamma=60.00
Sites, in units of the cell vectors:
Al  0.000  0.000  0.000
Al  0.250  0.250  0.250
Ru  0.750  0.750  0.750
Pt  0.500  0.500  0.500


The lowest formation enthalpy at 0 K belongs to which entry? AlRuPt